VASP calculation (GGA-PBEsol) on Hf2Tc2Pb after structural relaxation.

a = 3.4791 Å, b = 3.4791 Å, c = 16.6133 Å
α = 90.00°, β = 90.00°, γ = 90.00°
Element x y z (fractional)
Hf  0.0000  0.0000  0.1143
Hf  0.0000  0.0000  0.8857
Hf  0.5000  0.5000  0.3857
Hf  0.5000  0.5000  0.6143
Tc  0.0000  0.5000  0.2500
Tc  0.0000  0.5000  0.7500
Tc  0.5000  0.0000  0.2500
Tc  0.5000  0.0000  0.7500
Pb  0.0000  0.0000  0.5000
Pb  0.5000  0.5000  0.0000

- space-group type = I4/mmm, No. 139
- formation energy from the elements (meV per atom) = 223

VASP calculation (GGA-PBEsol) on Ba2CaTl after structural relaxation.

a = 5.9643 Å, b = 5.9643 Å, c = 4.5518 Å
α = 90.00°, β = 90.00°, γ = 90.00°
Element x y z (fractional)
Ba  0.0000  0.5000  0.0000
Ba  0.5000  0.0000  0.0000
Ca  0.0000  0.0000  0.5000
Tl  0.5000  0.5000  0.5000

- offset from the most stable computed form (eV per atom) = 0.050
- space-group type = P4/mmm, No. 123
- formation energy from the elements (meV per atom) = -186

VASP calculation (GGA-PBEsol) on ZnNi3 after structural relaxation.

a = 5.0384 Å, b = 6.8460 Å, c = 2.5162 Å
α = 90.00°, β = 90.00°, γ = 90.00°
Element x y z (fractional)
Zn  0.0000  0.0000  0.0000
Zn  0.5000  0.5000  0.0000
Ni  0.0000  0.5000  0.0000
Ni  0.2500  0.2500  0.5000
Ni  0.2500  0.7500  0.5000
Ni  0.5000  0.0000  0.0000
Ni  0.7500  0.2500  0.5000
Ni  0.7500  0.7500  0.5000

- space-group type = Cmmm, No. 65
- formation energy from the elements (meV per atom) = -123

VASP calculation (GGA-PBEsol) on CdTeMo2 after structural relaxation.

a = 2.9964 Å, b = 4.5980 Å, c = 5.4584 Å
α = 90.00°, β = 92.42°, γ = 90.00°
Element x y z (fractional)
Cd  0.0000  0.0000  0.0000
Te  0.5000  0.0000  0.5000
Mo  0.3642  0.5000  0.7846
Mo  0.6358  0.5000  0.2154

- offset from the most stable computed form (eV per atom) = 0.258
- ΔE_f (raw) (meV/atom) = 655
- space-group type = P2/m, No. 10

VASP calculation (GGA-PBEsol) on AlP3Ir after structural relaxation.

a = 4.4150 Å, b = 4.4150 Å, c = 4.4150 Å
α = 90.00°, β = 90.00°, γ = 90.00°
Element x y z (fractional)
Al  0.0000  0.0000  0.0000
P  0.0000  0.0000  0.5000
P  0.0000  0.5000  0.0000
P  0.5000  0.0000  0.0000
Ir  0.5000  0.5000  0.5000

- space-group type = Pm-3m, No. 221
- formation energy from the elements (meV per atom) = 1195

VASP calculation (GGA-PBEsol) on FeReS2N after structural relaxation.

a = 4.7100 Å, b = 4.7100 Å, c = 3.6938 Å
α = 90.00°, β = 90.00°, γ = 90.00°
Element x y z (fractional)
Fe  0.0000  0.0000  0.0000
Re  0.5000  0.5000  0.5000
S  0.0000  0.5000  0.5000
S  0.5000  0.0000  0.5000
N  0.5000  0.5000  0.0000

- ΔE_f (raw) (meV/atom) = 590
- space-group type = P4/mmm, No. 123

Number 2 is which compound?
Ba2CaTl